{
  "formula": "SrO2",
  "functional": "meta-GGA SCAN",
  "state": "PBEsol geometry",
  "magnetic_moment_mub_per_cell": 0.00,
  "formation_energy_uncorrected_mev_per_atom": -2131,
  "lattice": [[-1.761, 1.761, 3.315], [1.761, -1.761, 3.315], [1.761, 1.761, -3.315]],
  "species": ["Sr", "O", "O"],
  "frac_coords": [[0.000, 0.000, 0.000], [0.388, 0.388, 0.000], [0.612, 0.612, 0.000]]
}